Record 1
LiAcY2Se4 | Alexandria | PBE | relaxed; total DFT energy (no corrections) = -5.811 eV per atom; magnetic moment = 0.0 μB/f.u.
1.0
2.0698 -6.9178 0.0000
2.0698 6.9178 0.0000
0.0000 0.0000 14.1888
Li Ac Y Se
2 2 4 8
Cartesian
2.0698 4.8939 10.6416
2.0698 -4.8939 3.5472
2.0698 5.2455 3.5472
2.0698 -5.2455 10.6416
2.0698 1.8052 0.8039
2.0698 1.8052 6.2905
2.0698 -1.8052 7.8983
2.0698 -1.8052 13.3849
0.0000 0.0000 0.0000
0.0000 0.0000 7.0944
2.0698 3.1980 8.8000
2.0698 3.1980 12.4832
2.0698 0.6703 3.5472
2.0698 -0.6703 10.6416
2.0698 -3.1980 1.7056
2.0698 -3.1980 5.3888

Record 2
EuTlAgAu | Alexandria | PBE | relaxed; total DFT energy (no corrections) = -5.031 eV per atom; energy of formation = -131 kJ/mol of formula units; magnetic moment = 7.1 μB/f.u.
1.0
0.0000 3.6424 3.6424
3.6424 0.0000 3.6424
3.6424 3.6424 0.0000
Eu Tl Ag Au
1 1 1 1
Cartesian
0.0000 0.0000 0.0000
3.6424 3.6424 3.6424
5.4636 5.4636 5.4636
1.8212 1.8212 1.8212